P.
Compound: DyErRu
Source: the Alexandria database
Functional: PBE
Structure: optimized geometry

Unit cell a=6.725 b=6.725 c=8.243 alpha=114.11 beta=114.11 gamma=89.92
Sites, in units of the cell vectors:
Er  0.662  0.587  0.249
Er  0.413  0.338  0.751
Er  0.663  0.088  0.251
Er  0.912  0.337  0.749
Dy  0.162  0.587  0.249
Dy  0.912  0.837  0.749
Dy  0.413  0.838  0.751
Dy  0.163  0.088  0.251
Ru  0.538  0.963  0.500
Ru  0.787  0.712  0.000
Ru  0.037  0.462  0.500
Ru  0.288  0.213  0.000

Output
The volume is 25.37 Å³/atom. The value obtained for the mass density is 9.401 g/cm3. Its symmetry is No. 70.



Q.
Compound: DyErRu
Source: the Alexandria database
Functional: PBE
Structure: optimized geometry

Unit cell a=3.393 b=6.762 c=12.916 alpha=90.00 beta=90.00 gamma=90.00
Sites, in units of the cell vectors:
Er  0.750  0.875  0.624
Er  0.250  0.125  0.376
Er  0.250  0.625  0.124
Er  0.750  0.375  0.876
Dy  0.250  0.126  0.122
Dy  0.250  0.626  0.378
Dy  0.750  0.874  0.878
Dy  0.750  0.374  0.622
Ru  0.250  0.124  0.750
Ru  0.750  0.376  0.250
Ru  0.750  0.876  0.250
Ru  0.250  0.624  0.750

Output
The volume is 24.69 Å³/atom. The value obtained for the mass density is 9.658 g/cm3. Its symmetry is No. 62.



It is Q that is the most stable of them.



P.
Compound: DyErRu
Source: the Alexandria database
Functional: PBE
Structure: optimized geometry

Unit cell a=4.757 b=4.757 c=4.757 alpha=60.00 beta=60.00 gamma=60.00
Sites, in units of the cell vectors:
Er  0.000  0.000  0.000
Ru  0.250  0.250  0.250
Dy  0.500  0.500  0.500

Output
The volume is 25.37 Å³/atom. The value obtained for the mass density is 9.400 g/cm3. Its symmetry is No. 216.



Q.
Compound: DyErRu
Source: the Alexandria database
Functional: PBE
Structure: optimized geometry

Unit cell a=3.387 b=3.387 c=6.883 alpha=104.24 beta=104.24 gamma=90.00
Sites, in units of the cell vectors:
Ru  0.666  0.666  0.331
Dy  0.294  0.294  0.589
Er  0.040  0.040  0.080

Output
The volume is 24.67 Å³/atom. The value obtained for the mass density is 9.665 g/cm3. Its symmetry is No. 107.



It is Q that is the most stable of them.



P.
Compound: DyEr3Ru
Source: the Alexandria database
Functional: PBE
Structure: optimized geometry

Unit cell a=7.202 b=7.202 c=7.187 alpha=107.78 beta=112.68 gamma=108.10
Site moments in Bohr magnetons follow the coordinates.
Sites, in units of the cell vectors:
Ru  0.628  0.750  0.377  0.01
Ru  0.372  0.250  0.623  0.01
Er  0.296  0.554  0.850  0.05
Er  0.849  0.054  0.297  0.05
Er  0.242  0.448  0.297  0.05
Er  0.758  0.552  0.703  0.05
Er  0.151  0.946  0.703  0.05
Er  0.704  0.446  0.150  0.05
Dy  0.707  0.053  0.761  0.05
Dy  0.293  0.947  0.239  0.05

Output
The volume is 28.60 Å³/atom. The value obtained for the mass density is 8.887 g/cm3. Its symmetry is No. 12.



Q.
Compound: DyEr3Ru
Source: the Alexandria database
Functional: PBE
Structure: optimized geometry

Unit cell a=3.537 b=9.446 c=8.767 alpha=105.54 beta=101.64 gamma=90.00
Site moments in Bohr magnetons follow the coordinates.
Sites, in units of the cell vectors:
Er  0.002  0.177  0.003  0.03
Er  0.998  0.823  0.997  0.03
Er  0.901  0.459  0.802  0.17
Er  0.316  0.131  0.632  0.02
Er  0.684  0.869  0.368  0.02
Er  0.099  0.541  0.198  0.17
Ru  0.864  0.937  0.728  0.01
Ru  0.136  0.063  0.272  0.01
Dy  0.693  0.308  0.386  0.03
Dy  0.307  0.692  0.614  0.03

Output
The volume is 27.59 Å³/atom. The value obtained for the mass density is 9.212 g/cm3. Its symmetry is No. 12.



It is P that is the most stable of them.



P.
Compound: Dy2Er2Ru3
Source: the Alexandria database
Functional: PBE
Structure: optimized geometry

Unit cell a=3.406 b=7.586 c=6.084 alpha=97.38 beta=73.92 gamma=89.95
Sites, in units of the cell vectors:
Ru  0.842  0.445  0.309
Ru  0.000  0.000  0.000
Ru  0.158  0.555  0.691
Er  0.321  0.161  0.357
Er  0.679  0.839  0.643
Dy  0.424  0.705  0.144
Dy  0.576  0.295  0.856

Output
The volume is 21.39 Å³/atom. The value obtained for the mass density is 10.679 g/cm3. Its symmetry is No. 2.



Q.
Compound: Dy2Er2Ru3
Source: the Alexandria database
Functional: PBE
Structure: optimized geometry

Unit cell a=4.870 b=4.864 c=7.980 alpha=89.94 beta=107.52 gamma=119.98
Sites, in units of the cell vectors:
Ru  0.497  0.749  0.247
Ru  0.000  0.000  0.000
Ru  0.503  0.251  0.753
Er  0.252  0.126  0.379
Er  0.748  0.874  0.621
Dy  0.754  0.377  0.131
Dy  0.246  0.623  0.869

Output
The volume is 21.94 Å³/atom. The value obtained for the mass density is 10.407 g/cm3. Its symmetry is No. 2.



It is Q that is the most stable of them.



P.
Compound: Dy3ErRu3
Source: the Alexandria database
Functional: PBE
Structure: optimized geometry

Unit cell a=6.804 b=6.804 c=6.722 alpha=90.12 beta=90.12 gamma=89.59
Sites, in units of the cell vectors:
Ru  0.000  0.500  0.249
Ru  0.500  0.000  0.751
Ru  0.000  0.500  0.751
Ru  0.000  0.000  0.249
Ru  0.000  0.000  0.751
Ru  0.500  0.000  0.249
Er  0.758  0.758  0.999
Er  0.242  0.242  0.001
Dy  0.246  0.754  0.500
Dy  0.754  0.754  0.499
Dy  0.246  0.246  0.501
Dy  0.750  0.250  0.000
Dy  0.754  0.246  0.500
Dy  0.250  0.750  0.000

Output
The volume is 22.23 Å³/atom. The value obtained for the mass density is 10.224 g/cm3. Its symmetry is No. 12.



Q.
Compound: Dy3ErRu3
Source: the Alexandria database
Functional: PBE
Structure: optimized geometry

Unit cell a=5.819 b=5.830 c=5.819 alpha=109.51 beta=109.43 gamma=109.51
Sites, in units of the cell vectors:
Ru  0.000  0.503  0.500
Ru  0.500  0.003  0.500
Ru  0.500  0.503  0.000
Dy  0.586  0.590  0.586
Dy  0.000  0.004  0.414
Dy  0.414  0.004  0.000
Er  0.000  0.418  0.000

Output
The volume is 21.70 Å³/atom. The value obtained for the mass density is 10.472 g/cm3. Its symmetry is No. 160.



It is Q that is the most stable of them.



P.
Compound: DyEr2Ru2
Source: the Alexandria database
Functional: PBE
Structure: optimized geometry

Unit cell a=4.393 b=5.404 c=10.785 alpha=111.45 beta=90.00 gamma=90.00
Sites, in units of the cell vectors:
Er  0.750  0.224  0.113
Er  0.750  0.718  0.473
Er  0.250  0.776  0.887
Er  0.250  0.282  0.527
Ru  0.750  0.682  0.046
Ru  0.250  0.318  0.954
Ru  0.750  0.102  0.349
Ru  0.250  0.898  0.651
Dy  0.750  0.208  0.780
Dy  0.250  0.792  0.220

Output
The volume is 23.83 Å³/atom. The value obtained for the mass density is 9.743 g/cm3. Its symmetry is No. 11.



Q.
Compound: DyEr2Ru2
Source: the Alexandria database
Functional: PBE
Structure: optimized geometry

Unit cell a=3.362 b=3.387 c=10.241 alpha=80.48 beta=90.00 gamma=90.00
Sites, in units of the cell vectors:
Er  0.000  0.166  0.668
Er  0.000  0.834  0.332
Ru  0.500  0.411  0.179
Ru  0.500  0.589  0.821
Dy  0.000  0.000  0.000

Output
The volume is 23.00 Å³/atom. The value obtained for the mass density is 10.094 g/cm3. Its symmetry is No. 65.



It is Q that is the most stable of them.



P.
Compound: Dy3ErRu2
Source: the Alexandria database
Functional: PBE
Structure: optimized geometry

Unit cell a=6.694 b=7.012 c=8.293 alpha=115.01 beta=113.80 gamma=90.00
Sites, in units of the cell vectors:
Dy  0.766  0.516  0.531
Dy  0.234  0.984  0.469
Dy  0.766  0.016  0.531
Dy  0.234  0.484  0.469
Dy  0.500  0.250  0.000
Dy  0.500  0.750  0.000
Ru  0.587  0.365  0.731
Ru  0.413  0.635  0.269
Ru  0.144  0.865  0.731
Ru  0.856  0.135  0.269
Er  0.000  0.500  0.000
Er  0.000  0.000  0.000

Output
The volume is 26.32 Å³/atom. The value obtained for the mass density is 9.009 g/cm3. Its symmetry is No. 72.



Q.
Compound: Dy3ErRu2
Source: the Alexandria database
Functional: PBE
Structure: optimized geometry

Unit cell a=6.329 b=6.759 c=6.759 alpha=90.06 beta=90.00 gamma=90.00
Sites, in units of the cell vectors:
Ru  0.000  0.749  0.749
Ru  0.000  0.251  0.251
Ru  0.500  0.749  0.749
Ru  0.500  0.251  0.251
Dy  0.750  0.069  0.931
Dy  0.250  0.931  0.069
Dy  0.250  0.432  0.932
Dy  0.250  0.068  0.568
Dy  0.750  0.932  0.432
Dy  0.750  0.568  0.068
Er  0.750  0.433  0.567
Er  0.250  0.567  0.433

Output
The volume is 24.09 Å³/atom. The value obtained for the mass density is 9.844 g/cm3. Its symmetry is No. 63.



It is Q that is the most stable of them.



P.
Compound: Dy2ErRu2
Source: the Alexandria database
Functional: PBE
Structure: optimized geometry

Unit cell a=3.364 b=3.384 c=10.328 alpha=80.57 beta=90.00 gamma=90.00
Sites, in units of the cell vectors:
Er  0.000  0.000  0.000
Ru  0.500  0.587  0.826
Ru  0.500  0.413  0.174
Dy  0.000  0.835  0.329
Dy  0.000  0.165  0.671

Output
The volume is 23.19 Å³/atom. The value obtained for the mass density is 9.943 g/cm3. Its symmetry is No. 65.



Q.
Compound: Dy2ErRu2
Source: the Alexandria database
Functional: PBE
Structure: optimized geometry

Unit cell a=4.232 b=5.966 c=9.809 alpha=90.00 beta=90.00 gamma=110.77
Sites, in units of the cell vectors:
Er  0.647  0.293  0.961
Er  0.353  0.707  0.461
Ru  0.999  0.998  0.398
Ru  0.001  0.002  0.898
Ru  0.807  0.615  0.646
Ru  0.193  0.385  0.146
Dy  0.353  0.707  0.834
Dy  0.906  0.812  0.147
Dy  0.094  0.188  0.647
Dy  0.647  0.293  0.334

Output
The volume is 23.16 Å³/atom. The value obtained for the mass density is 9.959 g/cm3. Its symmetry is No. 36.



It is P that is the most stable of them.



P.
Compound: DyEr5Ru4
Source: the Alexandria database
Functional: PBE
Structure: optimized geometry

Unit cell a=4.823 b=6.672 c=7.505 alpha=90.24 beta=108.74 gamma=90.00
Sites, in units of the cell vectors:
Dy  0.500  0.000  0.000
Ru  0.335  0.249  0.670
Ru  0.001  0.749  0.002
Ru  0.665  0.751  0.330
Ru  0.999  0.251  0.998
Er  0.833  0.497  0.666
Er  0.167  0.003  0.334
Er  0.833  0.997  0.666
Er  0.500  0.500  0.000
Er  0.167  0.503  0.334

Output
The volume is 22.87 Å³/atom. The value obtained for the mass density is 10.187 g/cm3. Its symmetry is No. 12.



Q.
Compound: DyEr5Ru4
Source: the Alexandria database
Functional: PBE
Structure: optimized geometry

Unit cell a=3.384 b=3.384 c=18.933 alpha=90.00 beta=90.00 gamma=90.00
Sites, in units of the cell vectors:
Ru  0.000  0.000  0.229
Ru  0.000  0.000  0.411
Ru  0.000  0.000  0.771
Ru  0.000  0.000  0.589
Er  0.500  0.500  0.500
Er  0.500  0.500  0.677
Er  0.500  0.500  0.323
Er  0.500  0.500  0.147
Er  0.500  0.500  0.853
Dy  0.000  0.000  0.000

Output
The volume is 21.68 Å³/atom. The value obtained for the mass density is 10.745 g/cm3. Its symmetry is No. 123.



It is Q that is the most stable of them.



P.
Compound: DyErZnRu
Source: the Alexandria database
Functional: PBE
Structure: optimized geometry

Unit cell a=4.891 b=4.891 c=4.891 alpha=60.00 beta=60.00 gamma=60.00
Sites, in units of the cell vectors:
Zn  0.250  0.250  0.250
Dy  0.500  0.500  0.500
Er  0.000  0.000  0.000
Ru  0.750  0.750  0.750

Output
The volume is 20.69 Å³/atom. The value obtained for the mass density is 9.958 g/cm3. Its symmetry is No. 216.



Q.
Compound: DyErZnRu
Source: the Alexandria database
Functional: PBE
Structure: optimized geometry

Unit cell a=3.429 b=3.429 c=7.203 alpha=90.00 beta=90.00 gamma=90.00
Sites, in units of the cell vectors:
Er  0.000  0.000  0.337
Dy  0.000  0.000  0.878
Ru  0.500  0.500  0.110
Zn  0.500  0.500  0.603

Output
The volume is 21.17 Å³/atom. The value obtained for the mass density is 9.731 g/cm3. Its symmetry is No. 99.



It is Q that is the most stable of them.



P.
Compound: Dy2ErS4
Source: the Alexandria database
Functional: PBE
Structure: optimized geometry

Unit cell a=7.814 b=7.757 c=7.757 alpha=60.66 beta=59.75 gamma=59.75
Sites, in units of the cell vectors:
S  0.747  0.751  0.755
S  0.756  0.251  0.751
S  0.253  0.249  0.245
S  0.747  0.255  0.251
S  0.758  0.749  0.249
S  0.242  0.251  0.751
S  0.253  0.745  0.749
S  0.244  0.749  0.249
Er  0.000  0.500  0.000
Er  0.500  0.500  0.000
Dy  0.000  0.500  0.500
Dy  0.000  0.000  0.000
Dy  0.000  0.000  0.500
Dy  0.500  0.000  0.500

Output
The volume is 23.77 Å³/atom. The value obtained for the mass density is 6.192 g/cm3. Its symmetry is No. 74.



Q.
Compound: Dy2ErS4
Source: the Alexandria database
Functional: PBE
Structure: optimized geometry

Unit cell a=3.932 b=6.887 c=7.620 alpha=119.18 beta=104.95 gamma=90.00
Sites, in units of the cell vectors:
S  0.123  0.811  0.246
S  0.877  0.189  0.754
S  0.363  0.728  0.725
S  0.637  0.272  0.275
Dy  0.726  0.734  0.453
Dy  0.274  0.266  0.547
Er  0.000  0.000  0.000

Output
The volume is 24.59 Å³/atom. The value obtained for the mass density is 5.986 g/cm3. Its symmetry is No. 12.



It is P that is the most stable of them.



P.
Compound: DyErS3
Source: the Alexandria database
Functional: PBE
Structure: optimized geometry

Unit cell a=3.865 b=7.716 c=7.718 alpha=94.54 beta=90.00 gamma=90.00
Sites, in units of the cell vectors:
Er  0.750  0.146  0.681
Er  0.250  0.854  0.319
S  0.750  0.104  0.321
S  0.750  0.622  0.386
S  0.250  0.896  0.679
S  0.750  0.322  0.982
S  0.250  0.378  0.614
S  0.250  0.678  0.018
Dy  0.250  0.382  0.231
Dy  0.750  0.618  0.769

Output
The volume is 22.95 Å³/atom. The value obtained for the mass density is 6.165 g/cm3. Its symmetry is No. 11.



Q.
Compound: DyErS3
Source: the Alexandria database
Functional: PBE
Structure: optimized geometry

Unit cell a=4.080 b=8.668 c=8.173 alpha=59.02 beta=75.55 gamma=76.39
Sites, in units of the cell vectors:
S  0.356  0.474  0.815
S  0.266  0.156  0.311
S  0.955  0.862  0.227
S  0.644  0.526  0.185
S  0.734  0.844  0.689
S  0.045  0.138  0.773
Dy  0.370  0.791  0.470
Dy  0.630  0.209  0.530
Er  0.852  0.261  0.034
Er  0.148  0.739  0.966

Output
The volume is 23.79 Å³/atom. The value obtained for the mass density is 5.945 g/cm3. Its symmetry is No. 12.



It is P that is the most stable of them.